5
Lattice="4.3830 0.0000 0.0000 0.0000 4.3830 0.0000 0.0000 0.0000 4.3830" Properties=species:S:1:pos:R:3 comment="FeSiIr3 PBE relaxed" raw_formation_energy_mev_per_atom=1131 total_magnetization_mub_per_cell=0.46 spacegroup="No. 221" dft_energy_ev_per_atom=-6.9631 pbc="T T T"
Ir 0.0000 2.1915 0.0000
Ir 2.1915 0.0000 0.0000
Ir 0.0000 0.0000 2.1915
Si 0.0000 0.0000 0.0000
Fe 2.1915 2.1915 2.1915